DFT (SCAN) results for RbErBeF6 at its PBEsol-relaxed geometry.

abc: 5.7641 6.3929 7.1127
angles: 113.80 90.00 90.00
Closest atoms and distances in Å follow each position.
Fractional positions:
F  0.0321  0.7569  0.4033  1 Be 1.56
F  0.2500  0.0015  0.7303  1 Be 1.56
Be  0.2500  0.7693  0.5370  4 F 1.54-1.56
Be  0.7500  0.2307  0.4630  4 F 1.54-1.56
F  0.9983  0.3229  0.0292  2 Er 2.22-2.23, 1 F 2.46
F  0.0017  0.6771  0.9708  2 Er 2.22-2.23, 1 F 2.46
Er  0.2500  0.3928  0.8236  8 F 2.22-2.31
F  0.9679  0.2431  0.5967  1 Be 1.56
Rb  0.7500  0.9188  0.7863  8 F 2.80-2.99
F  0.5017  0.3229  0.0292  2 Er 2.22-2.23, 1 F 2.46
F  0.7500  0.9985  0.2697  1 Be 1.56
F  0.4983  0.6771  0.9708  2 Er 2.22-2.23, 1 F 2.46
F  0.4679  0.7569  0.4033  1 Be 1.56
F  0.7500  0.4282  0.3912  1 Be 1.54
Er  0.7500  0.6072  0.1764  8 F 2.22-2.31
F  0.5321  0.2431  0.5967  1 Be 1.56
F  0.2500  0.5718  0.6088  1 Be 1.54
Rb  0.2500  0.0812  0.2137  8 F 2.80-2.99

Computed properties:
Symmetry: P2_1/m
Energy: -14.610 eV per atom
E_form (uncorrected): -3869 meV/atom